Entry 1:
Density functional theory data (PBE) for a relaxed Ce2Si6Os crystal.

Cell lengths 5.8234, 5.8234, 5.2069 Å; angles 90.00, 90.00, 120.00 degrees
Space group P-3m1 (No. 164)
Symmetry-distinct sites (fractional):
Ce1 0.3333 0.6667 0.1822 [2 per cell]
Si1 0.1814 0.3627 0.6816 [6 per cell]
Os1 0.0000 0.0000 0.0000 [1 per cell]

Properties
DOS at the Fermi energy: 0.7026 states/eV/atom
crystal system: trigonal
E_form (uncorrected): -0.545 eV/atom
uncorrected energy: -0.494 Ry per atom

=====

Entry 2:
Density functional theory data (PBE) for a relaxed Ce3Si3Os crystal.

Cell lengths 4.178, 10.841, 12.795 Å; angles 90.00, 90.00, 90.00 degrees
Space group Cmcm (No. 63)
Symmetry-distinct sites (fractional):
Ce1 0.000 0.029 0.250 [4 per cell]
Ce2 0.000 0.265 0.592 [8 per cell]
Si1 0.000 0.314 0.250 [4 per cell]
Si2 0.000 0.448 0.094 [8 per cell]
Os1 0.000 0.000 0.000 [4 per cell]

Properties
DOS at the Fermi energy: 1.8516 states/eV/atom
crystal system: orthorhombic
polymorph energy (0 for the lowest one): 0 meV/atom
E_form (uncorrected): -0.660 eV/atom
uncorrected energy: -0.524 Ry per atom

=====

Entry 3:
Density functional theory data (PBE) for a relaxed Ce2Si4TcOs3 crystal.

Cell lengths 4.233, 4.233, 9.708 Å; angles 90.00, 90.00, 90.00 degrees
Space group P-4m2 (No. 115)
Symmetry-distinct sites (fractional):
Ce1 0.000 0.500 0.246 [2 per cell]
Si1 0.000 0.000 0.500 [1 per cell]
Si2 0.000 0.500 0.877 [2 per cell]
Si3 0.500 0.500 0.500 [1 per cell]
Tc1 0.500 0.500 0.000 [1 per cell]
Os1 0.000 0.000 0.000 [1 per cell]
Os2 0.000 0.500 0.627 [2 per cell]

Properties
DOS at the Fermi energy: 1.2037 states/eV/atom
crystal system: tetragonal
E_form (uncorrected): -0.593 eV/atom
uncorrected energy: -0.614 Ry per atom

=====

Entry 4:
Density functional theory data (PBE) for a relaxed CeSi2TcOs crystal.

Cell lengths 4.222, 4.222, 9.774 Å; angles 90.00, 90.00, 90.00 degrees
Space group I-4m2 (No. 119)
Symmetry-distinct sites (fractional):
Ce1 0.000 0.000 0.000 [2 per cell]
Si1 0.000 0.000 0.370 [4 per cell]
Tc1 0.000 0.500 0.250 [2 per cell]
Os1 0.000 0.500 0.750 [2 per cell]

Properties
DOS at the Fermi energy: 1.3123 states/eV/atom
crystal system: tetragonal
E_form (uncorrected): -0.667 eV/atom
uncorrected energy: -0.613 Ry per atom

=====

Entry 5:
Density functional theory data (PBE) for a relaxed CeSi3TcOs crystal.

Cell lengths 7.632, 11.000, 5.609 Å; angles 90.00, 90.00, 90.00 degrees
Space group Cmcm (No. 63)
Symmetry-distinct sites (fractional):
Ce1 0.000 0.246 0.250 [4 per cell]
Si1 0.000 0.248 0.750 [4 per cell]
Si2 0.248 0.500 0.000 [8 per cell]
Tc1 0.000 0.450 0.750 [4 per cell]
Os1 0.000 0.045 0.750 [4 per cell]

Properties
DOS at the Fermi energy: 1.0414 states/eV/atom
crystal system: orthorhombic
E_form (uncorrected): -0.346 eV/atom
uncorrected energy: -0.562 Ry per atom

=====

Entry 6:
Density functional theory data (PBE) for a relaxed CeSi2Tc2Os crystal.

Cell lengths 4.626, 4.626, 5.218 Å; angles 90.00, 90.00, 90.00 degrees
Space group P4/mmm (No. 123)
Symmetry-distinct sites (fractional):
Ce1 0.000 0.000 0.000 [1 per cell]
Si1 0.000 0.500 0.500 [2 per cell]
Tc1 0.500 0.500 0.243 [2 per cell]
Os1 0.000 0.000 0.500 [1 per cell]

Properties
DOS at the Fermi energy: 0.9345 states/eV/atom
crystal system: tetragonal
E_form (uncorrected): 0.172 eV/atom
uncorrected energy: -0.584 Ry per atom

=====

- The highest DOS at the Fermi energy belongs to which entry?
  Ce3Si3Os